1.
{
  "formula": "CaNd5Rh4",
  "functional": "PBE",
  "state": "optimized geometry",
  "lattice": [[4.341, 0.000, 0.000], [0.000, 7.418, -1.219], [-2.170, -2.327, 9.021]],
  "species": ["Rh", "Rh", "Rh", "Nd", "Rh", "Nd", "Nd", "Nd", "Ca", "Nd"],
  "frac_coords": [[0.000, 0.740, 0.000], [0.297, 0.797, 0.595], [0.703, 0.203, 0.405], [0.164, 0.921, 0.327], [0.000, 0.260, 0.000], [0.836, 0.593, 0.673], [0.836, 0.079, 0.673], [0.500, 0.500, 0.000], [0.500, 0.000, 0.000], [0.164, 0.407, 0.327]],
  "formation_energy_ev_per_atom": -0.47
}


2.
{
  "formula": "Sc3Ga2Hg2",
  "functional": "PBE",
  "state": "optimized geometry",
  "lattice": [[-0.726, 1.722, 3.689], [-3.138, -0.910, -0.193], [1.975, -8.190, 6.530]],
  "species": ["Sc", "Sc", "Hg", "Ga", "Hg", "Ga", "Sc"],
  "frac_coords": [[0.162, 0.000, 0.676], [0.838, 0.000, 0.324], [0.577, 0.500, 0.846], [0.716, 0.500, 0.569], [0.423, 0.500, 0.154], [0.284, 0.500, 0.431], [0.000, 0.000, 0.000]],
  "formation_energy_ev_per_atom": -0.47
}


3.
{
  "formula": "BSO3",
  "functional": "PBE",
  "state": "optimized geometry",
  "lattice": [[3.567, 0.000, 0.000], [0.000, 3.567, 0.000], [0.000, 0.000, 3.567]],
  "species": ["B", "O", "O", "O", "S"],
  "frac_coords": [[0.500, 0.500, 0.500], [0.000, 0.000, 0.500], [0.000, 0.500, 0.000], [0.500, 0.000, 0.000], [0.000, 0.000, 0.000]],
  "raw_formation_energy_ev_per_atom": 0.860
}


4.
{
  "formula": "Rb2BeNbBr6",
  "functional": "PBE",
  "state": "optimized geometry",
  "lattice": [[7.439, 0.000, 0.000], [0.000, 7.439, 0.000], [3.719, 3.719, 5.271]],
  "species": ["Br", "Rb", "Br", "Nb", "Br", "Rb", "Br", "Br", "Be", "Br"],
  "frac_coords": [[0.262, 0.738, 0.000], [0.750, 0.250, 0.500], [0.261, 0.261, 0.478], [0.000, 0.000, 0.000], [0.738, 0.262, 0.000], [0.250, 0.750, 0.500], [0.738, 0.738, 0.000], [0.262, 0.262, 0.000], [0.500, 0.500, 0.000], [0.739, 0.739, 0.522]],
  "raw_formation_energy_ev_per_atom": -0.946
}


5.
{
  "formula": "RbTl4",
  "functional": "PBE",
  "state": "optimized geometry",
  "lattice": [[-2.658, 1.704, 5.569], [4.106, -3.794, 3.120], [4.131, 4.867, 0.482]],
  "species": ["Tl", "Tl", "Rb", "Tl", "Tl"],
  "frac_coords": [[0.500, 0.500, 0.000], [0.000, 0.000, 0.000], [0.500, 0.500, 0.500], [0.500, 0.000, 0.500], [0.000, 0.500, 0.500]],
  "formation_energy_ev_per_atom": 0.69
}


6.
{
  "formula": "CaZn8Rh4",
  "functional": "PBE",
  "state": "optimized geometry",
  "lattice": [[5.241, 0.000, 2.107], [2.621, 6.071, 1.053], [0.357, 0.000, 6.686]],
  "species": ["Zn", "Zn", "Zn", "Rh", "Zn", "Zn", "Zn", "Rh", "Ca", "Rh", "Rh", "Zn", "Zn"],
  "frac_coords": [[0.668, 0.332, 0.332], [0.500, 0.228, 0.772], [0.000, 0.332, 0.668], [0.500, 0.500, 0.000], [0.272, 0.228, 0.228], [0.500, 0.772, 0.228], [0.728, 0.772, 0.772], [0.000, 0.000, 0.500], [0.000, 0.000, 0.000], [0.500, 0.000, 0.500], [0.000, 0.500, 0.000], [0.332, 0.668, 0.668], [0.000, 0.668, 0.332]],
  "formation_energy_ev_per_atom": -0.40
}


7.
{
  "formula": "Sr2CoGeTe",
  "functional": "PBE",
  "state": "optimized geometry",
  "lattice": [[-2.558, 0.741, 5.045], [-5.056, -1.097, -2.402], [0.512, -4.317, 0.894]],
  "species": ["Sr", "Ge", "Sr", "Co", "Te"],
  "frac_coords": [[0.000, 0.500, 0.000], [0.000, 0.000, 0.500], [0.500, 0.000, 0.000], [0.000, 0.000, 0.000], [0.500, 0.500, 0.500]],
  "raw_formation_energy_ev_per_atom": -0.579
}


8.
{
  "formula": "SmSbO4",
  "functional": "PBE",
  "state": "optimized geometry",
  "lattice": [[-0.992, 2.652, -4.707], [-1.184, -6.710, -3.530], [-7.608, -0.752, 1.180]],
  "species": ["O", "O", "O", "Sb", "O", "Sm", "O", "O", "O", "O", "O", "Sm", "Sb", "O", "O", "Sm", "O", "Sm", "O", "O", "O", "Sb", "O", "Sb"],
  "frac_coords": [[0.977, 0.326, 0.118], [0.497, 0.375, 0.174], [0.023, 0.674, 0.882], [0.268, 0.196, 0.663], [0.997, 0.125, 0.826], [0.275, 0.105, 0.147], [0.477, 0.174, 0.882], [0.371, 0.942, 0.670], [0.871, 0.558, 0.330], [0.003, 0.875, 0.174], [0.908, 0.803, 0.564], [0.775, 0.395, 0.853], [0.732, 0.804, 0.337], [0.523, 0.826, 0.118], [0.129, 0.442, 0.670], [0.225, 0.605, 0.147], [0.503, 0.625, 0.826], [0.725, 0.895, 0.853], [0.092, 0.197, 0.436], [0.408, 0.697, 0.436], [0.629, 0.058, 0.330], [0.768, 0.304, 0.337], [0.592, 0.303, 0.564], [0.232, 0.696, 0.663]],
  "raw_formation_energy_ev_per_atom": -2.359
}


9.
{
  "formula": "ThBeSiIr",
  "functional": "PBE",
  "state": "optimized geometry",
  "lattice": [[4.125, 0.000, 0.000], [0.000, 4.125, 0.000], [0.000, 0.000, 8.595]],
  "species": ["Be", "Th", "Si", "Ir", "Si", "Be", "Th", "Ir"],
  "frac_coords": [[0.500, 0.000, 0.624], [0.500, 0.000, 0.232], [0.000, 0.500, 0.109], [0.000, 0.000, 0.500], [0.500, 0.000, 0.891], [0.000, 0.500, 0.376], [0.000, 0.500, 0.768], [0.500, 0.500, 0.500]],
  "raw_formation_energy_ev_per_atom": -0.551
}


10.
{
  "formula": "Rb3In4Au4",
  "functional": "PBE",
  "state": "optimized geometry",
  "lattice": [[7.684, 0.000, 0.000], [-2.561, 7.245, 0.000], [-2.561, -3.622, 6.274]],
  "species": ["Rb", "Rb", "Au", "In", "Rb", "Au", "In", "Au", "In", "In", "Au"],
  "frac_coords": [[0.500, 0.000, 0.500], [0.000, 0.500, 0.500], [0.640, 0.000, 0.000], [0.722, 0.722, 0.722], [0.500, 0.500, 0.000], [0.000, 0.000, 0.640], [0.000, 0.278, 0.000], [0.360, 0.360, 0.360], [0.000, 0.000, 0.278], [0.278, 0.000, 0.000], [0.000, 0.640, 0.000]],
  "formation_energy_ev_per_atom": -0.29
}


11.
{
  "formula": "AcSm2Ni2Ge2",
  "functional": "PBE",
  "state": "optimized geometry",
  "lattice": [[-1.511, -0.981, -3.973], [-1.503, -4.010, -0.833], [-10.021, 1.147, 1.134]],
  "species": ["Ni", "Sm", "Ge", "Sm", "Ac", "Ni", "Ge"],
  "frac_coords": [[0.594, 0.594, 0.218], [0.875, 0.875, 0.376], [0.258, 0.258, 0.227], [0.125, 0.125, 0.624], [0.000, 0.000, 0.000], [0.406, 0.406, 0.782], [0.742, 0.742, 0.773]],
  "formation_energy_ev_per_atom": -0.59
}


12.
{
  "formula": "Li2CaHoAu4",
  "functional": "PBE",
  "state": "optimized geometry",
  "lattice": [[4.626, 0.000, 0.000], [2.313, 4.006, 0.000], [2.313, 1.335, 8.963]],
  "species": ["Ho", "Au", "Li", "Au", "Li", "Au", "Au", "Ca"],
  "frac_coords": [[0.500, 0.500, 0.500], [0.885, 0.885, 0.346], [0.751, 0.751, 0.748], [0.391, 0.391, 0.826], [0.249, 0.249, 0.252], [0.115, 0.115, 0.654], [0.609, 0.609, 0.174], [0.000, 0.000, 0.000]],
  "formation_energy_ev_per_atom": -0.69
}


13.
{
  "formula": "Cr2CoRe",
  "functional": "PBE",
  "state": "optimized geometry",
  "lattice": [[4.144, 0.000, 0.000], [2.072, 3.589, 0.000], [2.072, 1.196, 3.384]],
  "species": ["Re", "Cr", "Co", "Cr"],
  "frac_coords": [[0.250, 0.250, 0.250], [0.000, 0.000, 0.000], [0.500, 0.500, 0.500], [0.750, 0.750, 0.750]],
  "formation_energy_ev_per_atom": 0.13
}


14.
{
  "formula": "ZnPAu2",
  "functional": "PBE",
  "state": "optimized geometry",
  "lattice": [[-0.117, -1.261, -2.718], [2.912, -2.148, 0.871], [-3.716, -4.185, 2.102]],
  "species": ["P", "Au", "Au", "Zn"],
  "frac_coords": [[0.500, 0.500, 0.000], [0.000, 0.000, 0.742], [0.000, 0.000, 0.258], [0.500, 0.500, 0.500]],
  "de_polymorph_mev_per_atom": 94,
  "formation_energy_ev_per_atom": 0.17
}


15.
{
  "formula": "CsTl3Hg4",
  "functional": "PBE",
  "state": "optimized geometry",
  "lattice": [[-3.822, 3.611, -0.073], [-4.048, -0.389, 3.333], [3.258, 7.459, 8.976]],
  "species": ["Hg", "Hg", "Tl", "Tl", "Tl", "Cs", "Hg", "Hg"],
  "frac_coords": [[0.131, 0.131, 0.608], [0.869, 0.869, 0.392], [0.500, 0.500, 0.500], [0.767, 0.767, 0.700], [0.233, 0.233, 0.300], [0.000, 0.000, 0.000], [0.601, 0.601, 0.198], [0.399, 0.399, 0.802]],
  "formation_energy_ev_per_atom": -0.10
}


16.
{
  "formula": "YHgSb2Rh",
  "functional": "PBE",
  "state": "optimized geometry",
  "lattice": [[5.813, 0.000, 0.000], [0.000, 4.984, 0.000], [0.000, 0.000, 5.813]],
  "species": ["Y", "Sb", "Rh", "Hg", "Sb"],
  "frac_coords": [[0.000, 0.000, 0.000], [0.500, 0.000, 0.000], [0.000, 0.500, 0.000], [0.500, 0.500, 0.500], [0.000, 0.000, 0.500]],
  "raw_formation_energy_ev_per_atom": 0.646
}


17.
{
  "formula": "Ba2La2Os",
  "functional": "PBE",
  "state": "optimized geometry",
  "lattice": [[7.556, 0.000, 0.000], [0.000, 7.556, 0.000], [0.000, 0.000, 6.734]],
  "species": ["La", "La", "Ba", "Ba", "Ba", "Os", "La", "La", "Ba", "Os"],
  "frac_coords": [[0.176, 0.324, 0.000], [0.676, 0.176, 0.000], [0.189, 0.689, 0.500], [0.811, 0.311, 0.500], [0.689, 0.811, 0.500], [0.500, 0.500, 0.000], [0.824, 0.676, 0.000], [0.324, 0.824, 0.000], [0.311, 0.189, 0.500], [0.000, 0.000, 0.000]],
  "formation_energy_ev_per_atom": 0.20
}


18.
{
  "formula": "PuPd8Au6",
  "functional": "PBE",
  "state": "optimized geometry",
  "lattice": [[-4.047, -1.159, 2.881], [-4.683, 1.269, -6.068], [2.915, -7.094, 1.240]],
  "species": ["Pd", "Au", "Pd", "Au", "Pd", "Pd", "Au", "Pd", "Pd", "Pd", "Au", "Pu", "Au", "Au", "Pd"],
  "frac_coords": [[0.801, 0.333, 0.667], [0.309, 0.106, 0.462], [0.820, 0.236, 0.952], [0.691, 0.894, 0.538], [0.180, 0.284, 0.236], [0.199, 0.667, 0.333], [0.309, 0.356, 0.894], [0.180, 0.952, 0.716], [0.820, 0.048, 0.284], [0.820, 0.716, 0.764], [0.691, 0.462, 0.356], [0.500, 0.000, 0.000], [0.691, 0.644, 0.106], [0.309, 0.538, 0.644], [0.180, 0.764, 0.048]],
  "formation_energy_ev_per_atom": -0.08
}


19.
{
  "formula": "SrZr2Fe",
  "functional": "PBE",
  "state": "optimized geometry",
  "lattice": [[-6.615, -4.587, 0.720], [-3.698, -6.762, 2.433], [-5.504, -3.831, 4.510]],
  "species": ["Zr", "Fe", "Sr", "Zr"],
  "frac_coords": [[0.538, 0.538, 0.538], [0.250, 0.250, 0.250], [0.750, 0.750, 0.750], [0.962, 0.962, 0.962]],
  "de_polymorph_mev_per_atom": 31,
  "formation_energy_ev_per_atom": 0.25
}


20.
{
  "formula": "NaCoBr3",
  "functional": "PBE",
  "state": "optimized geometry",
  "lattice": [[-4.782, -1.775, -0.144], [1.617, -4.502, 1.775], [-0.744, 1.618, 4.781]],
  "species": ["Na", "Br", "Br", "Br", "Co"],
  "frac_coords": [[0.500, 0.500, 0.500], [0.000, 0.000, 0.500], [0.000, 0.500, 0.000], [0.500, 0.000, 0.000], [0.000, 0.000, 0.000]],
  "raw_formation_energy_ev_per_atom": -0.574,
  "de_polymorph_mev_per_atom": 207
}


Sequential total magnetic moment output: 0.00; 0.02; 0.00; 3.00; 0.00; 0.00; 0.00; 0.00; 0.00; 0.00; 0.00; 0.00; 3.39; 0.00; 0.00; 0.00; 0.00; 4.06; 0.00; 2.37 μB per formula unit